Entry 1:
Rb3BaSe | PBE-GGA | optimized geometry

```
Rb3BaSe
1.0
-5.580 -4.716 2.601
5.011 -3.172 4.998
-1.975 5.277 5.329
Rb Ba Se
3 1 1
Direct
0.500 0.000 0.000 Rb
0.000 0.000 0.500 Rb
0.000 0.500 0.000 Rb
0.000 0.000 0.000 Ba
0.500 0.500 0.500 Se
```

Results
The formation energy from raw total energies comes out at 0.563 eV/atom. The energy is -5.50 eV for the cell shown. Its magnetic moment is 1.00 μB per formula unit.


Entry 2:
Li4Zr3CrSe8 | PBE-GGA | optimized geometry

```
Li4Zr3CrSe8
1.0
7.572 0.000 0.000
0.000 7.858 0.193
-3.786 -3.780 5.359
Se Zr Li Cr
8 3 4 1
Direct
0.756 0.255 0.512 Se
0.244 0.745 0.488 Se
0.756 0.255 0.999 Se
0.244 0.745 0.001 Se
0.243 0.255 0.999 Se
0.757 0.745 0.001 Se
0.751 0.753 0.502 Se
0.249 0.247 0.498 Se
0.500 0.500 0.500 Zr
0.500 0.500 0.000 Zr
0.000 0.500 0.500 Zr
0.000 0.000 0.000 Li
0.500 0.000 0.000 Li
0.000 0.000 0.500 Li
0.500 0.000 0.500 Li
0.000 0.500 0.000 Cr
```

Results
The formation energy from raw total energies comes out at -1.191 eV/atom. The energy is -89.86 eV for the cell shown. Its magnetic moment is 3.65 μB per formula unit.